Here is crystalline SnMoO2 at its relaxed geometry from Alexandria. Energies are from PBE+U.

a b c (Å): 3.1633 5.5641 7.7658
angles (deg): 82.08 78.36 73.72
Closest atoms and distances in Å follow each position.
Space group P1 (No. 1)
Asymmetric unit:
Sn  0.0000  0.0000  0.0000  1 O 2.10
Sn  0.2954  0.4798  0.9353  2 O 2.24-2.49
Mo  0.6334  0.3055  0.4349  4 O 1.92-2.14
Mo  0.9278  0.6871  0.4679  5 O 2.06-2.14
O  0.1510  0.4416  0.2637  3 Mo 2.12-2.14
O  0.4093  0.5511  0.6406  3 Mo 2.13-2.14, 1 Sn 2.24
O  0.6955  0.0177  0.6036  2 Mo 1.92-2.12
O  0.8722  0.9836  0.2768  2 Mo 2.06-2.18, 1 Sn 2.10

energy = -24.504 eV per formula unit
magnetization = 0.000 μB per atom

=====

Here is crystalline SnMoO2 at its relaxed geometry from Alexandria. Energies are from PBE+U.

a b c (Å): 3.3171 3.3171 6.7953
angles (deg): 90.00 90.00 120.00
Closest atoms and distances in Å follow each position.
Space group P3m1 (No. 156)
Asymmetric unit:
Sn  0.0000  0.0000  0.0000  1 O 2.18
Mo  0.6667  0.3333  0.4838  6 O 2.15-2.21
O  0.0000  0.0000  0.3203  1 Sn 2.18, 3 Mo 2.21
O  0.3333  0.6667  0.6283  3 Mo 2.15

energy = -25.946 eV per formula unit
magnetization = 0.741 μB per atom

=====

Here is crystalline SnMoO2 at its relaxed geometry from Alexandria. Energies are from PBE+U.

a b c (Å): 5.7312 9.2066 5.4023
angles (deg): 90.00 90.00 90.00
Closest atoms and distances in Å follow each position.
Space group Pna2_1 (No. 33)
Asymmetric unit:
Sn  0.0352  0.1069  0.0000  2 O 2.13-2.16
Mo  0.1101  0.6176  0.9766  4 O 2.07-2.12
O  0.1196  0.2398  0.3096  2 Mo 2.07-2.12, 1 Sn 2.13
O  0.1528  0.5077  0.6448  2 Mo 2.07-2.10, 1 Sn 2.16

energy = -24.682 eV per formula unit
magnetization = 0.734 μB per atom

=====

Here is crystalline SnMoO2 at its relaxed geometry from Alexandria. Energies are from PBE+U.

a b c (Å): 7.5125 9.0657 5.9698
angles (deg): 90.00 126.99 90.00
Closest atoms and distances in Å follow each position.
Space group Cc (No. 9)
Asymmetric unit:
Sn  0.0000  0.1230  0.0000  3 O 2.07-2.25
Mo  0.1046  0.2860  0.6297  4 O 2.14-2.27
O  0.2901  0.2499  0.0954  2 Sn 2.21-2.25, 2 Mo 2.26-2.27
O  0.4072  0.2340  0.6835  1 Sn 2.07, 2 Mo 2.14-2.15

energy = -24.817 eV per formula unit
magnetization = 1.000 μB per atom

=====

Here is crystalline SnMoO2 at its relaxed geometry from Alexandria. Energies are from PBE+U.

a b c (Å): 3.3283 3.3283 13.4757
angles (deg): 90.00 90.00 120.00
Closest atoms and distances in Å follow each position.
Space group P6_3/mmc (No. 194)
Asymmetric unit:
Sn  0.3333  0.6667  0.2500  2 O 2.33
Mo  0.0000  0.0000  0.0000  6 O 2.18
O  0.3333  0.6667  0.0770  3 Mo 2.18, 1 Sn 2.33

energy = -26.188 eV per formula unit
magnetization = 0.726 μB per atom

=====

Here is crystalline SnMoO2 at its relaxed geometry from Alexandria. Energies are from PBE+U.

a b c (Å): 7.2240 6.4118 6.2597
angles (deg): 90.00 120.14 90.00
Closest atoms and distances in Å follow each position.
Space group C2/c (No. 15)
Asymmetric unit:
Sn  0.0000  0.1456  0.2500  2 O 2.12
Mo  0.0000  0.3663  0.7500  2 O 2.26
O  0.1939  0.0963  0.7345  1 Sn 2.12, 1 Mo 2.26

energy = -23.815 eV per formula unit
magnetization = 1.000 μB per atom

=====

Here is crystalline SnMo2O at its relaxed geometry from Alexandria. Energies are from PBE+U.

a b c (Å): 6.3252 6.3252 6.3252
angles (deg): 90.00 90.00 90.00
Closest atoms and distances in Å follow each position.
Space group Fm-3m (No. 225)
Asymmetric unit:
Sn  0.0000  0.0000  0.0000  8 Mo 2.74
Mo  0.2500  0.2500  0.2500  4 O 2.74, 4 Sn 2.74
O  0.0000  0.0000  0.5000  8 Mo 2.74

distance to the lowest polymorph of the same formula = 1092 meV/atom
magnetization = 0.000 μB per atom

=====

Here is crystalline SnMoO3 at its relaxed geometry from Alexandria. Energies are from PBE+U.

a b c (Å): 4.0308 4.0308 4.0308
angles (deg): 90.00 90.00 90.00
Closest atoms and distances in Å follow each position.
Space group Pm-3m (No. 221)
Asymmetric unit:
Sn  0.0000  0.0000  0.0000  6 O 2.02
Mo  0.5000  0.5000  0.5000  12 O 2.85
O  0.0000  0.0000  0.5000  2 Sn 2.02

energy = -29.609 eV per formula unit
magnetization = 0.800 μB per atom

=====

Here is crystalline SnMoO2 at its relaxed geometry from Alexandria. Energies are from PBE+U.

a b c (Å): 7.3154 3.1879 9.9365
angles (deg): 90.00 90.00 90.00
Closest atoms and distances in Å follow each position.
Space group Pnma (No. 62)
Asymmetric unit:
Sn  0.0187  0.2500  0.1422  3 O 2.19-2.40
Mo  0.0348  0.2500  0.6004  4 O 2.09-2.28
O  0.1818  0.7500  0.2345  2 Sn 2.19, 1 Mo 2.28
O  0.1957  0.7500  0.5232  3 Mo 2.09-2.13

energy = -23.711 eV per formula unit
magnetization = 0.000 μB per atom

=====

Here is crystalline SnMoO2 at its relaxed geometry from Alexandria. Energies are from PBE+U.

a b c (Å): 3.3913 3.3913 5.4367
angles (deg): 90.00 90.00 90.00
Closest atoms and distances in Å follow each position.
Space group P4/mmm (No. 123)
Asymmetric unit:
Sn  0.0000  0.0000  0.0000  4 O 2.40
Mo  0.5000  0.5000  0.5000  4 O 2.40
O  0.0000  0.0000  0.5000  4 Mo 2.40
O  0.5000  0.5000  0.0000  4 Sn 2.40

energy = -23.570 eV per formula unit
magnetization = 1.000 μB per atom

=====

Here is crystalline SnMoO3 at its relaxed geometry from Alexandria. Energies are from PBE+U.

a b c (Å): 4.0479 4.0479 4.0479
angles (deg): 90.00 90.00 90.00
Closest atoms and distances in Å follow each position.
Space group Pm-3m (No. 221)
Asymmetric unit:
Sn  0.0000  0.0000  0.0000  12 O 2.86
Mo  0.5000  0.5000  0.5000  6 O 2.02
O  0.0000  0.5000  0.5000  2 Mo 2.02

energy = -32.294 eV per formula unit
magnetization = 0.400 μB per atom

=====

Here is crystalline SnMoO2 at its relaxed geometry from Alexandria. Energies are from PBE+U.

a b c (Å): 3.7354 3.7354 16.2596
angles (deg): 90.00 90.00 120.00
Closest atoms and distances in Å follow each position.
Space group R3m (No. 160, hexagonal axes)
Asymmetric unit:
Sn  0.0000  0.0000  0.0000  4 O 2.18-2.24
Mo  0.0000  0.0000  0.4890  3 O 2.25
O  0.0000  0.0000  0.3133  3 Sn 2.18
O  0.0000  0.0000  0.8623  1 Sn 2.24, 3 Mo 2.25

energy = -23.527 eV per formula unit
magnetization = 1.000 μB per atom

=====

Here is crystalline Sn2MoO6 at its relaxed geometry from Alexandria. Energies are from PBE+U.

a b c (Å): 9.0857 9.0857 4.6581
angles (deg): 90.00 90.00 120.00
Closest atoms and distances in Å follow each position.
Space group P321 (No. 150)
Asymmetric unit:
Sn  0.0000  0.3077  0.0000  6 O 2.07-2.14
Sn  0.0000  0.6424  0.5000  6 O 2.08-2.15
Mo  0.0000  0.0000  0.5000  6 O 2.05
Mo  0.3333  0.6667  0.0049  6 O 2.06
O  0.0993  0.8779  0.2678  1 Mo 2.05, 2 Sn 2.07-2.15
O  0.1129  0.5395  0.2422  1 Mo 2.06, 2 Sn 2.08-2.14
O  0.2177  0.7723  0.7670  1 Mo 2.06, 2 Sn 2.11-2.13

energy = -59.253 eV per formula unit
magnetization = 0.222 μB per atom

=====

Here is crystalline SnMoO2 at its relaxed geometry from Alexandria. Energies are from PBE+U.

a b c (Å): 3.0402 7.2096 3.0579
angles (deg): 90.00 117.69 90.00
Closest atoms and distances in Å follow each position.
Space group Pm (No. 6)
Asymmetric unit:
Sn  0.0000  0.0000  0.0000  2 O 2.35
Mo  0.6582  0.5000  0.3413  6 O 2.17-2.19
O  0.9963  0.3253  0.0010  3 Mo 2.17-2.19, 1 Sn 2.35

energy = -24.726 eV per formula unit
magnetization = 0.248 μB per atom

=====

Here is crystalline SnMo2O6 at its relaxed geometry from Alexandria. Energies are from PBE+U.

a b c (Å): 9.2828 9.2828 4.5948
angles (deg): 90.00 90.00 120.00
Closest atoms and distances in Å follow each position.
Space group P-3m1 (No. 164)
Asymmetric unit:
Sn  0.0000  0.0000  0.0000  6 O 2.10
Sn  0.3333  0.6667  0.5099  6 O 2.12-2.16
Mo  0.0000  0.3419  0.0000  6 O 2.07-2.11
O  0.1073  0.5536  0.2557  2 Mo 2.07, 1 Sn 2.16
O  0.1158  0.2316  0.2133  2 Mo 2.07, 1 Sn 2.10
O  0.2224  0.4449  0.7587  2 Mo 2.11, 1 Sn 2.12

energy = -61.850 eV per formula unit
magnetization = 0.444 μB per atom

=====

Here is crystalline SnMoO2 at its relaxed geometry from Alexandria. Energies are from PBE+U.

a b c (Å): 3.3257 3.3257 20.2221
angles (deg): 90.00 90.00 120.00
Closest atoms and distances in Å follow each position.
Space group R-3m (No. 166, hexagonal axes)
Asymmetric unit:
Sn  0.0000  0.0000  0.0000  2 O 2.33
Mo  0.0000  0.0000  0.5000  6 O 2.18
O  0.0000  0.0000  0.1152  3 Mo 2.18, 1 Sn 2.33

energy = -26.206 eV per formula unit
magnetization = 0.734 μB per atom

=====

Here is crystalline SnMoO2 at its relaxed geometry from Alexandria. Energies are from PBE+U.

a b c (Å): 6.7068 6.7068 6.3794
angles (deg): 90.00 90.00 90.00
Closest atoms and distances in Å follow each position.
Space group I4/mcm (No. 140)
Asymmetric unit:
Sn  0.0000  0.0000  0.2500  8 O 3.05, 2 Sn 3.19, 4 Mo 3.35
Mo  0.0000  0.5000  0.2500  4 O 2.05
O  0.1365  0.3635  0.0000  2 Mo 2.05

energy = -23.153 eV per formula unit
magnetization = 0.652 μB per atom

=====

Here is crystalline SnMoO2 at its relaxed geometry from Alexandria. Energies are from PBE+U.

a b c (Å): 5.8141 3.2209 6.9340
angles (deg): 90.00 108.17 90.00
Closest atoms and distances in Å follow each position.
Space group C2/m (No. 12)
Asymmetric unit:
Sn  0.0000  0.0000  0.0000  4 O 2.74
Mo  0.0000  0.0000  0.5000  6 O 2.18-2.19
O  0.1121  0.5000  0.3363  3 Mo 2.18-2.19

energy = -25.591 eV per formula unit
magnetization = 0.742 μB per atom

=====

Here is crystalline SnMoO2 at its relaxed geometry from Alexandria. Energies are from PBE+U.

a b c (Å): 3.0634 19.2063 4.2314
angles (deg): 90.00 90.00 90.00
Closest atoms and distances in Å follow each position.
Space group Cmcm (No. 63)
Asymmetric unit:
Sn  0.0000  0.1702  0.2500  6 O 2.55-2.64
Mo  0.0000  0.4500  0.2500  3 O 1.93-2.13
O  0.0000  0.3495  0.2500  1 Mo 1.93
O  0.0000  0.4361  0.7500  3 Mo 2.13-2.19

energy = -23.484 eV per formula unit
magnetization = 0.274 μB per atom

=====

Here is crystalline SnMoO at its relaxed geometry from Alexandria. Energies are from PBE+U.

a b c (Å): 4.3493 3.4660 7.4275
angles (deg): 90.00 97.16 90.00
Closest atoms and distances in Å follow each position.
Space group P2_1/m (No. 11)
Asymmetric unit:
Sn  0.2297  0.2500  0.3936  6 Sn 3.18-3.47, 5 Mo 3.21-3.24, 1 O 3.29
Mo  0.3207  0.2500  0.8293  3 O 2.08-2.15
O  0.2691  0.7500  0.9777  3 Mo 2.08-2.15

energy = -17.113 eV per formula unit
magnetization = 0.898 μB per atom